VASP calculation (PBE-GGA) on an optimized crystal structure of Li3CdRe.

Energy relative to the lowest polymorph listed for this composition = 0 meV per atom
Fermi-level density of states = 6.65 states/eV per cell
Crystal system = cubic
Symmetry = No. 221

abc: 4.9288 4.9288 4.9288
angles: 90.00 90.00 90.00
Last column: magnetic moment on the atom in μB.
Fractional positions:
Li (0.5000, 0.0000, 0.0000)  0.00
Li (0.0000, 0.0000, 0.5000)  0.00
Li (0.0000, 0.5000, 0.0000)  0.00
Re (0.0000, 0.0000, 0.0000)  2.01
Cd (0.5000, 0.5000, 0.5000)  0.00



VASP calculation (PBE-GGA) on an optimized crystal structure of LiCd2Re.

Energy relative to the lowest polymorph listed for this composition = 64 meV per atom
Fermi-level density of states = 1.80 states/eV per cell
Crystal system = monoclinic
Symmetry = No. 8

abc: 5.5387 5.5387 5.1541
angles: 66.68 66.68 28.87
Fractional positions:
Cd (0.9955, 0.9955, 0.1026)
Cd (0.7505, 0.7505, 0.6564)
Li (0.5052, 0.5052, 0.5867)
Re (0.2489, 0.2489, 0.1542)



VASP calculation (PBE-GGA) on an optimized crystal structure of LiCdRe4.

Fermi-level density of states = 4.55 states/eV per cell
Crystal system = cubic
Symmetry = No. 216

abc: 5.2440 5.2440 5.2440
angles: 60.00 60.00 60.00
Fractional positions:
Re (0.3747, 0.3747, 0.8758)
Re (0.3747, 0.8758, 0.3747)
Re (0.8758, 0.3747, 0.3747)
Re (0.3747, 0.3747, 0.3747)
Cd (0.7500, 0.7500, 0.7500)
Li (0.0000, 0.0000, 0.0000)



VASP calculation (PBE-GGA) on an optimized crystal structure of LiCd2Re.

Energy relative to the lowest polymorph listed for this composition = 37 meV per atom
Fermi-level density of states = 0.84 states/eV per cell
Crystal system = orthorhombic
Symmetry = No. 35

abc: 2.7642 2.7642 9.7119
angles: 90.00 90.00 108.56
Fractional positions:
Li (0.0000, 0.0000, 0.5147)
Cd (0.5000, 0.5000, 0.2675)
Cd (0.0000, 0.0000, 0.9823)
Re (0.5000, 0.5000, 0.7355)



VASP calculation (PBE-GGA) on an optimized crystal structure of LiCd2Re.

Energy relative to the lowest polymorph listed for this composition = 426 meV per atom
Fermi-level density of states = 2.68 states/eV per cell
Crystal system = cubic
Symmetry = No. 216

abc: 4.6366 4.6366 4.6366
angles: 60.00 60.00 60.00
Last column: magnetic moment on the atom in μB.
Fractional positions:
Cd (0.0000, 0.0000, 0.0000)  -0.01
Cd (0.2500, 0.2500, 0.2500)  -0.03
Li (0.5000, 0.5000, 0.5000)  -0.01
Re (0.7500, 0.7500, 0.7500)  1.61



VASP calculation (PBE-GGA) on an optimized crystal structure of LiCdRe.

Energy relative to the lowest polymorph listed for this composition = 21 meV per atom
Fermi-level density of states = 1.44 states/eV per cell
Crystal system = orthorhombic
Symmetry = No. 42

abc: 7.5923 7.4083 2.7057
angles: 83.47 75.80 20.74
Fractional positions:
Li (0.6725, 0.6725, 0.3275)
Cd (0.0019, 0.0019, 0.9981)
Re (0.3256, 0.3256, 0.6744)



VASP calculation (PBE-GGA) on an optimized crystal structure of LiCdRe.

Energy relative to the lowest polymorph listed for this composition = 287 meV per atom
Fermi-level density of states = 2.10 states/eV per cell
Crystal system = orthorhombic
Symmetry = No. 44

abc: 5.0694 5.0694 5.0694
angles: 150.15 129.50 59.77
Last column: magnetic moment on the atom in μB.
Fractional positions:
Li (0.3337, 0.3337, 0.0000)  0.00
Cd (0.9976, 0.9976, 0.0000)  0.00
Re (0.6687, 0.6687, 0.0000)  0.52



VASP calculation (PBE-GGA) on an optimized crystal structure of LiCd2Re.

Energy relative to the lowest polymorph listed for this composition = 172 meV per atom
Fermi-level density of states = 3.13 states/eV per cell
Crystal system = orthorhombic
Symmetry = No. 25

abc: 2.7466 4.5371 5.6975
angles: 90.00 90.00 90.00
Fractional positions:
Li (0.0000, 0.0000, 0.5089)
Cd (0.5000, 0.5000, 0.2691)
Cd (0.0000, 0.0000, 0.9658)
Re (0.5000, 0.5000, 0.7562)



What total magnetization values result from the calculations? In sequence: 2.32 0.00 0.00 0.00 1.74 0.00 0.61 0.00 μB/cell.
What formation enthalpy at 0 K values result from the calculations? In sequence: 1213 325 529 298 686 323 590 432 meV per atom.